Ti2CrPOs PBEsol relaxed; final energy = -8.6648 eV per atom; total magnetization = 0.247 μB/atom; symmetry = P4/mmm
1.0
4.047 0.000 0.000
0.000 4.409 0.000
0.000 0.000 4.409
Cr Os Ti P
1 1 2 1
Direct
0.500 0.000 0.000
0.500 0.500 0.500
0.000 0.500 0.000
0.000 0.000 0.500
0.000 0.000 0.000

CrSbTe2I PBEsol relaxed; final energy = -3.8954 eV per atom; total magnetization = 0.906 μB/atom; ΔE_f (raw) = 828 meV/atom; symmetry = P4/mmm; ΔE to the lowest computed polymorph = 0 meV/atom
1.0
-3.047 4.815 -0.270
-3.054 -1.679 4.516
3.761 2.576 3.501
Sb I Te Cr
1 1 2 1
Direct
0.000 0.000 0.000
0.000 0.000 0.500
0.500 0.000 0.000
0.000 0.500 0.000
0.500 0.500 0.500

SrBe2Cl PBEsol relaxed; final energy = -2.3775 eV per atom; total magnetization = 0.000 μB/atom; ΔE_f (raw) = 585 meV/atom; symmetry = R-3m; ΔE to the lowest computed polymorph = 465 meV/atom
1.0
-0.993 -2.389 2.321
1.908 -0.550 2.852
-4.003 4.670 5.696
Cl Be Sr
1 2 1
Direct
0.500 0.500 0.500
0.766 0.766 0.703
0.234 0.234 0.297
0.000 0.000 0.000

LiNi5O10 PBEsol relaxed; final energy = -6.2092 eV per atom; total magnetization = 0.000 μB/atom; ΔE_f (raw) = -881 meV/atom; symmetry = P-1
1.0
4.845 -0.001 -0.018
-1.623 5.528 0.028
-0.776 -1.990 6.008
O Ni Li
10 5 1
Direct
0.288 0.819 0.123
0.700 0.626 0.925
0.510 0.783 0.483
0.490 0.217 0.517
0.094 0.423 0.719
0.712 0.181 0.877
0.894 0.012 0.314
0.300 0.374 0.075
0.106 0.988 0.686
0.906 0.577 0.281
0.000 0.500 0.000
0.599 0.696 0.203
0.800 0.104 0.596
0.401 0.304 0.797
0.200 0.896 0.404
0.000 0.000 0.000

La2TlCd PBEsol relaxed; final energy = -3.9610 eV per atom; total magnetization = 0.000 μB/atom; symmetry = I-4m2; ΔE to the lowest computed polymorph = 65 meV/atom
1.0
4.676 0.000 0.000
0.000 4.676 0.000
-2.338 -2.338 5.115
La Cd Tl
2 1 1
Direct
0.000 0.000 0.000
0.750 0.250 0.500
0.250 0.750 0.500
0.500 0.500 0.000

ScReSe2N PBEsol relaxed; final energy = -7.4486 eV per atom; total magnetization = 0.000 μB/atom; ΔE_f (raw) = -216 meV/atom; symmetry = P4/mmm
1.0
3.715 0.000 0.000
0.000 5.002 0.000
0.000 0.000 5.002
N Re Sc Se
1 1 1 2
Direct
0.500 0.000 0.000
0.000 0.000 0.000
0.500 0.500 0.500
0.000 0.000 0.500
0.000 0.500 0.000

AlAgMo2 PBEsol relaxed; final energy = -7.5719 eV per atom; total magnetization = 0.000 μB/atom; symmetry = Cmmm
1.0
-1.956 1.767 0.471
-1.427 -2.048 0.971
3.187 1.458 7.760
Mo Ag Al
2 1 1
Direct
0.000 0.000 0.763
0.000 0.000 0.237
0.500 0.500 0.500
0.500 0.500 0.000

MnGa3Br PBEsol relaxed; final energy = -3.3503 eV per atom; total magnetization = 0.911 μB/atom; ΔE_f (raw) = 980 meV/atom; symmetry = Pm-3m
1.0
-1.009 -2.641 4.474
3.653 -3.601 -1.303
3.694 2.840 2.510
Br Ga Mn
1 3 1
Direct
0.000 0.000 0.000
0.500 0.000 0.000
0.000 0.500 0.000
0.000 0.000 0.500
0.500 0.500 0.500

ZnInAg2 PBEsol relaxed; final energy = -2.8163 eV per atom; total magnetization = 0.000 μB/atom; symmetry = P4mm
1.0
-1.095 -3.273 0.387
0.528 0.228 3.425
-5.433 1.901 0.711
Ag Zn In
2 1 1
Direct
0.000 0.000 0.986
0.500 0.500 0.241
0.500 0.500 0.778
0.000 0.000 0.495

CdSi2Ni PBEsol relaxed; final energy = -4.7078 eV per atom; total magnetization = 0.000 μB/atom; ΔE_f (raw) = 4 meV/atom; symmetry = P4/mmm
1.0
-0.945 -2.387 -1.103
1.648 0.374 -2.223
5.605 -3.839 3.507
Si Ni Cd
2 1 1
Direct
0.000 0.000 0.688
0.000 0.000 0.312
0.500 0.500 0.500
0.500 0.500 0.000

AlPPt2 PBEsol relaxed; final energy = -6.3053 eV per atom; total magnetization = 0.000 μB/atom; symmetry = I4/mmm; ΔE to the lowest computed polymorph = 177 meV/atom
1.0
4.084 0.000 0.000
-2.042 3.999 -0.025
0.000 2.108 3.499
P Al Pt
1 1 2
Direct
0.000 0.000 0.000
0.500 0.000 0.500
0.750 0.500 0.750
0.250 0.500 0.250

La3B2N5 PBEsol relaxed; final energy = -8.7905 eV per atom; total magnetization = 0.000 μB/atom; ΔE_f (raw) = -1520 meV/atom; symmetry = P2_1/c
1.0
7.571 0.002 0.000
0.002 9.598 0.000
0.000 0.000 14.645
N B La
40 16 24
Direct
0.369 0.157 0.022
0.376 0.137 0.471
0.453 0.714 0.640
0.621 0.492 0.687
0.622 0.943 0.763
0.631 0.843 0.978
0.373 0.816 0.167
0.413 0.473 0.891
0.873 0.816 0.333
0.122 0.943 0.737
0.378 0.057 0.237
0.379 0.508 0.313
0.878 0.057 0.263
0.336 0.474 0.601
0.869 0.157 0.478
0.087 0.527 0.391
0.622 0.163 0.661
0.164 0.526 0.101
0.131 0.843 0.522
0.953 0.714 0.860
0.122 0.163 0.839
0.587 0.527 0.109
0.793 0.714 0.642
0.627 0.184 0.833
0.547 0.286 0.360
0.127 0.184 0.667
0.047 0.286 0.140
0.378 0.837 0.339
0.836 0.474 0.899
0.124 0.863 0.971
0.664 0.526 0.399
0.707 0.286 0.142
0.121 0.492 0.813
0.624 0.863 0.529
0.879 0.508 0.187
0.878 0.837 0.161
0.913 0.473 0.609
0.876 0.137 0.029
0.293 0.714 0.858
0.207 0.286 0.358
0.035 0.440 0.143
0.535 0.440 0.357
0.780 0.560 0.647
0.376 0.906 0.249
0.280 0.560 0.853
0.124 0.094 0.749
0.720 0.440 0.147
0.876 0.228 0.107
0.220 0.440 0.353
0.376 0.228 0.393
0.965 0.560 0.857
0.465 0.560 0.643
0.624 0.772 0.607
0.624 0.094 0.751
0.124 0.772 0.893
0.876 0.906 0.251
0.630 0.011 0.388
0.363 0.681 0.466
0.123 0.005 0.389
0.617 0.325 0.971
0.370 0.989 0.612
0.124 0.674 0.247
0.863 0.681 0.034
0.876 0.326 0.753
0.878 0.301 0.307
0.376 0.326 0.747
0.883 0.675 0.471
0.623 0.005 0.111
0.637 0.319 0.534
0.378 0.301 0.193
0.117 0.325 0.529
0.624 0.674 0.253
0.137 0.319 0.966
0.122 0.699 0.693
0.877 0.995 0.611
0.130 0.011 0.112
0.377 0.995 0.889
0.622 0.699 0.807
0.383 0.675 0.029
0.870 0.989 0.888